Pm2Co3Ge5 | PBE | relaxed

Values from the calculation:
The value obtained for the theoretical density is 8.16 g/cm3. Its energy is -119.60 eV for the cell shown. For the total moment, the calculation gives 0.00 μB/f.u.

a = 8.202 Å, b = 8.202 Å, c = 8.202 Å
α = 106.78°, β = 88.06°, γ = 138.18°
Positions (direct):
Pm1 0.135 0.235 0.370
Pm2 0.365 0.735 0.100
Pm3 0.635 0.265 0.900
Pm4 0.865 0.765 0.630
Co1 0.138 0.893 0.031
Co2 0.250 0.750 0.500
Co3 0.362 0.393 0.756
Co4 0.638 0.607 0.244
Co5 0.750 0.250 0.500
Co6 0.862 0.107 0.969
Ge1 0.020 0.750 0.270
Ge2 0.096 0.661 0.757
Ge3 0.250 0.250 0.000
Ge4 0.404 0.161 0.565
Ge5 0.480 0.750 0.730
Ge6 0.520 0.250 0.270
Ge7 0.596 0.839 0.435
Ge8 0.750 0.750 0.000
Ge9 0.904 0.339 0.243
Ge10 0.980 0.250 0.730